# 1
The following is a PBE calculation of a relaxed structure of Hf3InMo, from Alexandria via LeMat-Bulk.

Cell: 5.026 5.026 5.026 Å, 90.00 90.00 90.00°
Sites, in units of the cell vectors:
Hf: 0.500 0.000 0.000
Hf: 0.000 0.500 0.000
In: 0.500 0.500 0.500
Mo: 0.000 0.000 0.000
Hf: 0.000 0.000 0.500

- SG: Pm-3m (221)
- Final energy: -40.0 eV per cell
- N(E_F): 1.802 states/eV per atom

---

# 2
The following is a PBE calculation of a relaxed structure of Hf2InMo, from Alexandria via LeMat-Bulk.

Cell: 4.123 4.123 10.581 Å, 78.77 78.77 90.00°
Sites, in units of the cell vectors:
Hf: 0.615 0.125 0.250
Mo: 0.500 0.500 0.000
Mo: 0.250 0.750 0.500
In: 0.750 0.250 0.500
Hf: 0.375 0.385 0.750
Hf: 0.875 0.865 0.750
Hf: 0.135 0.625 0.250
In: 0.000 0.000 0.000

- SG: I-42d (122)
- Final energy: -62.0 eV per cell
- N(E_F): 1.030 states/eV per atom

---

# 3
The following is a PBE calculation of a relaxed structure of Hf2InMo, from Alexandria via LeMat-Bulk.

Cell: 6.396 6.396 6.396 Å, 55.10 153.21 132.80°
Sites, in units of the cell vectors:
Hf: 0.000 0.239 0.239
Mo: 0.000 0.000 0.000
In: 0.000 0.500 0.500
Hf: 0.000 0.761 0.761

- SG: Immm (71)
- Final energy: -31.2 eV per cell
- N(E_F): 0.679 states/eV per atom

---

# 4
The following is a PBE calculation of a relaxed structure of HfInMo3, from Alexandria via LeMat-Bulk.

Cell: 4.811 4.811 4.811 Å, 90.00 90.00 90.00°
Sites, in units of the cell vectors:
Hf: 0.000 0.000 0.000
In: 0.500 0.500 0.500
Mo: 0.000 0.500 0.000
Mo: 0.000 0.000 0.500
Mo: 0.500 0.000 0.000

- SG: Pm-3m (221)
- Final energy: -36.4 eV per cell
- N(E_F): 1.173 states/eV per atom

---

# 5
The following is a PBE calculation of a relaxed structure of HfInMo2, from Alexandria via LeMat-Bulk.

Cell: 7.495 7.495 6.011 Å, 51.43 51.43 90.00°
Sites, in units of the cell vectors:
Mo: 0.875 0.875 0.750
Mo: 0.125 0.625 0.250
Hf: 0.750 0.250 0.500
Mo: 0.375 0.375 0.750
In: 0.500 0.500 0.000
In: 0.250 0.750 0.500
Hf: 0.000 0.000 0.000
Mo: 0.625 0.125 0.250

- SG: I-42d (122)
- Final energy: -61.9 eV per cell
- N(E_F): 1.141 states/eV per atom

---

# 6
The following is a PBE calculation of a relaxed structure of Hf2InMo, from Alexandria via LeMat-Bulk.

Cell: 3.255 3.255 9.382 Å, 80.01 80.01 60.00°
Sites, in units of the cell vectors:
Hf: 0.740 0.740 0.779
In: 0.500 0.500 0.500
Hf: 0.260 0.260 0.221
Mo: 0.000 0.000 0.000

- SG: R-3m (166)
- Final energy: -33.4 eV per cell
- N(E_F): 0.662 states/eV per atom

---

# 7
The following is a PBE calculation of a relaxed structure of Hf4InMo, from Alexandria via LeMat-Bulk.

Cell: 3.106 7.379 5.516 Å, 91.78 90.00 90.00°
Sites, in units of the cell vectors:
Hf: 0.500 0.326 0.839
Hf: 0.500 0.674 0.161
Hf: 0.000 0.666 0.674
In: 0.500 0.000 0.500
Hf: 0.000 0.334 0.326
Mo: 0.000 0.000 0.000

- SG: P2/m (10)
- Final energy: -52.8 eV per cell
- N(E_F): 0.998 states/eV per atom

---

# 8
The following is a PBE calculation of a relaxed structure of Hf3InMo, from Alexandria via LeMat-Bulk.

Cell: 5.108 5.108 5.108 Å, 90.00 90.00 90.00°
Sites, in units of the cell vectors:
Hf: 0.000 0.500 0.000
Mo: 0.500 0.500 0.500
In: 0.000 0.000 0.000
Hf: 0.500 0.000 0.000
Hf: 0.000 0.000 0.500

- SG: Pm-3m (221)
- Final energy: -34.6 eV per cell
- N(E_F): 1.947 states/eV per atom

---

# 9
The following is a PBE calculation of a relaxed structure of HfInMo3, from Alexandria via LeMat-Bulk.

Cell: 4.852 4.852 4.852 Å, 90.00 90.00 90.00°
Sites, in units of the cell vectors:
Mo: 0.000 0.500 0.000
Mo: 0.000 0.000 0.500
Mo: 0.500 0.000 0.000
Hf: 0.500 0.500 0.500
In: 0.000 0.000 0.000

- SG: Pm-3m (221)
- Final energy: -34.9 eV per cell
- N(E_F): 1.578 states/eV per atom

---

# 10
The following is a PBE calculation of a relaxed structure of Hf2InMo, from Alexandria via LeMat-Bulk.

Cell: 3.444 3.444 6.812 Å, 90.00 90.00 90.00°
Sites, in units of the cell vectors:
Hf: 0.000 0.000 0.778
Mo: 0.500 0.500 0.000
Hf: 0.000 0.000 0.222
In: 0.500 0.500 0.500

- SG: P4/mmm (123)
- Final energy: -34.4 eV per cell
- N(E_F): 0.786 states/eV per atom

---

# 11
The following is a PBE calculation of a relaxed structure of Hf6In5Mo, from Alexandria via LeMat-Bulk.

Cell: 4.409 8.531 7.095 Å, 90.00 71.83 90.00°
Sites, in units of the cell vectors:
Hf: 0.164 0.761 0.673
Hf: 0.164 0.239 0.673
Hf: 0.500 0.771 0.000
In: 0.000 0.500 0.000
Hf: 0.500 0.229 0.000
In: 0.666 0.500 0.668
Hf: 0.836 0.239 0.327
In: 0.336 0.000 0.328
In: 0.334 0.500 0.332
Mo: 0.000 0.000 0.000
In: 0.664 0.000 0.672
Hf: 0.836 0.761 0.327

- SG: P2/m (10)
- Final energy: -85.8 eV per cell
- N(E_F): 0.640 states/eV per atom

---

# 12
The following is a PBE calculation of a relaxed structure of Hf2In2Mo, from Alexandria via LeMat-Bulk.

Cell: 7.333 7.333 3.885 Å, 90.00 90.00 90.00°
Sites, in units of the cell vectors:
Mo: 0.500 0.500 0.000
In: 0.367 0.867 0.000
In: 0.633 0.133 0.000
Hf: 0.674 0.826 0.500
Hf: 0.174 0.674 0.500
Mo: 0.000 0.000 0.000
In: 0.133 0.367 0.000
Hf: 0.826 0.326 0.500
Hf: 0.326 0.174 0.500
In: 0.867 0.633 0.000

- SG: P4/mbm (127)
- Final energy: -70.8 eV per cell
- N(E_F): 0.811 states/eV per atom